An optimized crystal structure of Rb2SnP2O6, computed with PBE-GGA.

Output
Density = 3.87 g/cm3
ΔE_f (raw) = -1.973 eV per atom
Raw total energy = -6.201 eV per atom
D(E_F) = 0.0 states/eV/cell

a = 7.004 Å, b = 7.004 Å, c = 7.004 Å
α = 51.15°, β = 51.15°, γ = 51.15°
Element x y z (fractional)
Rb  0.225  0.225  0.225
Rb  0.775  0.775  0.775
Sn  0.000  0.000  0.000
P  0.439  0.439  0.439
P  0.561  0.561  0.561
O  0.274  0.274  0.701
O  0.274  0.701  0.274
O  0.299  0.726  0.726
O  0.701  0.274  0.274
O  0.726  0.299  0.726
O  0.726  0.726  0.299